Compound: HfFe2CuO6
Source: Alexandria via LeMat-Bulk
Functional: PBE+U
Structure: optimized geometry

Values from the calculation:
ρ in kg/m³: 6893
SG: P1 (1)
Electronic total energy in eV per atom: -7.136
Crystal system: triclinic

abc: 5.270 5.080 5.708
angles: 61.66 59.22 59.59
Fractional positions:
1 O 0.899 0.622 0.251
2 O 0.717 0.123 0.754
3 O 0.651 0.228 0.253
4 O 0.243 0.894 0.259
5 O 0.125 0.404 0.712
6 O 0.397 0.722 0.750
7 Fe 0.000 0.028 0.941
8 Fe 0.513 0.517 0.462
9 Hf 0.812 0.814 0.561
10 Cu 0.305 0.309 0.073